# 1
A plane-wave DFT calculation with GGA-PBE was carried out for crystalline Fe4TeRh at its relaxed geometry.

Lattice parameters (Å, degrees): 4.9299 4.9299 4.9299 60.00 60.00 60.00
Last column: nearest neighbours and their distance in Å.
Sites, in units of the cell vectors:
Fe 0.1249 0.1249 0.1249  6 Fe 2.46-2.47
Fe 0.1249 0.1249 0.6252  6 Fe 2.46-2.47
Fe 0.1249 0.6252 0.1249  6 Fe 2.46-2.47
Fe 0.6252 0.1249 0.1249  6 Fe 2.46-2.47
Te 0.5000 0.5000 0.5000  12 Fe 2.89, 4 Rh 3.02
Rh 0.7500 0.7500 0.7500  12 Fe 2.89, 4 Te 3.02

The value obtained for the energy relative to the elements, uncorrected is 1.40 eV per formula unit. The density comes out at 8.90 g/cm³. As for the total energy: -7.157 eV per atom. The space group is F-43m. The value obtained for the magnetic moment is 11.4 μB/cell.

# 2
A plane-wave DFT calculation with GGA-PBE was carried out for crystalline PuThNiRh at its relaxed geometry.

Lattice parameters (Å, degrees): 4.9124 4.9124 4.9124 60.00 60.00 60.00
Last column: nearest neighbours and their distance in Å.
Sites, in units of the cell vectors:
Pu 0.0000 0.0000 0.0000  4 Ni 3.01, 4 Rh 3.01
Th 0.5000 0.5000 0.5000  4 Ni 3.01, 4 Rh 3.01
Ni 0.7500 0.7500 0.7500  4 Pu 3.01, 4 Th 3.01
Rh 0.2500 0.2500 0.2500  4 Th 3.01, 4 Pu 3.01

The density comes out at 12.63 g/cm³. As for the total energy: -9.096 eV per atom. The space group is F-43m. The value obtained for the magnetic moment is 5.7 μB/cell.

# 3
A plane-wave DFT calculation with GGA-PBE was carried out for crystalline LaTaSb2 at its relaxed geometry.

Lattice parameters (Å, degrees): 5.3590 5.3590 3.4614 90.00 90.00 90.00
Last column: nearest neighbours and their distance in Å.
Sites, in units of the cell vectors:
La 0.0000 0.0000 0.0000  8 Sb 3.19, 2 La 3.46
Ta 0.5000 0.5000 0.0000  8 Sb 3.19, 2 Ta 3.46
Sb 0.0000 0.5000 0.5000  4 Ta 3.19, 4 La 3.19, 2 Sb 3.46
Sb 0.5000 0.0000 0.5000  4 Ta 3.19, 4 La 3.19, 2 Sb 3.46

The value obtained for the energy relative to the elements, uncorrected is -0.37 eV per formula unit. The density comes out at 9.41 g/cm³. As for the total energy: -6.348 eV per atom. The space group is P4/mmm. The value obtained for the magnetic moment is 0.4 μB/cell.